Record 1
This record from Alexandria via LeMat-Bulk describes NbTlTeO6 at its PBEsol-relaxed geometry. The functional is meta-GGA SCAN.

```
data_NbTlTeO6
_chemical_formula_sum 'Nb4 Tl4 Te4 O24'
_cell_length_a 7.255
_cell_length_b 10.269
_cell_length_c 7.483
_cell_angle_alpha 90.00
_cell_angle_beta 90.00
_cell_angle_gamma 90.00
_symmetry_space_group_name_H-M 'I m a 2'
_symmetry_Int_Tables_number 46
loop_
_symmetry_equiv_pos_as_xyz
'x,y,z'
'-x,-y,z'
'-x+1/2,y,z'
'x+1/2,-y,z'
'x+1/2,y+1/2,z+1/2'
'-x+1/2,-y+1/2,z+1/2'
'-x,y+1/2,z+1/2'
'x,-y+1/2,z+1/2'
loop_
_atom_site_label
_atom_site_fract_x
_atom_site_fract_y
_atom_site_fract_z
Nb1 0.250 0.239 0.000
Tl1 0.250 0.619 0.816
Te1 0.000 0.000 0.727
O1 0.054 0.122 0.911
O2 0.055 0.123 0.541
O3 0.250 0.182 0.235
O4 0.250 0.573 0.219
```

Output
Calculated volume   15.488 Å³/atom
Calculated density   6.205 g cm⁻³
Uncorrected formation energy   -1.7381 eV per atom

=====

Record 2
This record from Alexandria via LeMat-Bulk describes Be3NiPd at its PBEsol-relaxed geometry. The functional is meta-GGA SCAN.

```
data_Be3NiPd
_chemical_formula_sum 'Be3 Ni1 Pd1'
_cell_length_a 3.849
_cell_length_b 3.849
_cell_length_c 3.849
_cell_angle_alpha 90.00
_cell_angle_beta 90.00
_cell_angle_gamma 90.00
_symmetry_space_group_name_H-M 'P m -3 m'
_symmetry_Int_Tables_number 221
_symmetry_space_group_name_Hall '-P 4 2 3'
loop_
_atom_site_label
_atom_site_fract_x
_atom_site_fract_y
_atom_site_fract_z
Be1 0.000 0.000 0.500
Ni1 0.000 0.000 0.000
Pd1 0.500 0.500 0.500
```

Output
Calculated volume   11.401 Å³/atom
Calculated density   5.597 g cm⁻³
ΔE_f   183 meV/atom